DFT (GGA-PBE) results for a relaxed structure of TmMgNiPd.

Lattice parameters (Å, degrees): 4.6465 4.6465 4.6465 60.00 60.00 60.00
Last column: nearest neighbours and their distance in Å.
Atoms (fractional coordinates):
Tm1 0.0000 0.0000 0.0000  4 Ni 2.85, 4 Pd 2.85
Mg1 0.5000 0.5000 0.5000  4 Ni 2.85, 4 Pd 2.85
Ni1 0.7500 0.7500 0.7500  4 Mg 2.85, 4 Tm 2.85
Pd1 0.2500 0.2500 0.2500  4 Mg 2.85, 4 Tm 2.85

Computed properties:
- final energy (eV for the cell shown) = -19.30
- total magnetization (μB per cell) = 0.0
- symmetry = F-43m (216)
- formation enthalpy at 0 K (eV per atom) = -0.565

=====

DFT (GGA-PBE) results for a relaxed structure of LaSmTmIn.

Lattice parameters (Å, degrees): 5.5559 5.5559 5.5559 60.00 60.00 60.00
Last column: nearest neighbours and their distance in Å.
Atoms (fractional coordinates):
La1 0.0000 0.0000 0.0000  4 In 3.40, 4 Sm 3.40
Sm1 0.7500 0.7500 0.7500  4 La 3.40, 4 Tm 3.40
Tm1 0.5000 0.5000 0.5000  4 In 3.40, 4 Sm 3.40
In1 0.2500 0.2500 0.2500  4 La 3.40, 4 Tm 3.40

Computed properties:
- distance to the lowest polymorph of the same formula (meV/atom) = 0
- final energy (eV for the cell shown) = -17.34
- total magnetization (μB per cell) = 1.2
- symmetry = F-43m (216)
- formation enthalpy at 0 K (eV per atom) = -0.121

=====

DFT (GGA-PBE) results for a relaxed structure of Y3Ho2Th.

Lattice parameters (Å, degrees): 7.7905 7.7905 6.7669 90.00 90.00 105.65
Last column: nearest neighbours and their distance in Å.
Atoms (fractional coordinates):
Y1 0.1420 0.8580 0.5000  3 Th 3.35-3.61, 4 Ho 3.41-3.51, 2 Y 3.56
Y2 0.2223 0.4322 0.7462  2 Y 3.25-3.56, 4 Ho 3.27-3.47, 1 Th 3.56
Y3 0.4322 0.2223 0.2462  2 Y 3.25-3.56, 4 Ho 3.27-3.47, 1 Th 3.56
Y4 0.5678 0.7777 0.7462  2 Y 3.25-3.56, 4 Ho 3.27-3.47, 1 Th 3.56
Y5 0.7777 0.5678 0.2462  2 Y 3.25-3.56, 4 Ho 3.27-3.47, 1 Th 3.56
Y6 0.8580 0.1420 0.0000  3 Th 3.35-3.61, 4 Ho 3.41-3.51, 2 Y 3.56
Ho1 0.1672 0.4856 0.2493  6 Y 3.27-3.51, 1 Ho 3.27, 2 Th 3.37-3.49
Ho2 0.4856 0.1672 0.7493  6 Y 3.27-3.51, 1 Ho 3.27, 2 Th 3.37-3.49
Ho3 0.5144 0.8328 0.2493  6 Y 3.27-3.51, 1 Ho 3.27, 2 Th 3.37-3.49
Ho4 0.8328 0.5144 0.7493  6 Y 3.27-3.51, 1 Ho 3.27, 2 Th 3.37-3.49
Th1 0.1489 0.8511 0.9944  5 Y 3.35-3.61, 4 Ho 3.37-3.49
Th2 0.8511 0.1489 0.4944  5 Y 3.35-3.61, 4 Ho 3.37-3.49

Computed properties:
- distance to the lowest polymorph of the same formula (meV/atom) = 106
- final energy (eV for the cell shown) = -69.12
- total magnetization (μB per cell) = 0.0
- symmetry = Cmc2_1 (36)
- formation enthalpy at 0 K (eV per atom) = 0.234